(1)
{"formula": "PmSm2PuP4", "functional": "PBE-GGA", "state": "optimized geometry", "lattice": [[7.065, 0.000, 0.000], [0.000, 4.090, 0.000], [-2.357, 0.000, 6.662]], "species": ["Pm", "Sm", "Sm", "Pu", "P", "P", "P", "P"], "frac_coords": [[0.000, 0.000, 0.000], [0.500, 0.000, 0.500], [0.500, 0.500, 0.000], [0.000, 0.500, 0.500], [0.243, 0.000, 0.742], [0.247, 0.500, 0.255], [0.753, 0.500, 0.745], [0.757, 0.000, 0.258]], "sg": "P2/m", "crystal_system": "monoclinic", "e_tot_ev_per_atom": -7.72, "ef_ev_per_atom": -1.452, "mass_density_g_cm3": 7.02}

***

(2)
{"formula": "Y2IrRh3", "functional": "PBE-GGA", "state": "optimized geometry", "lattice": [[2.674, 1.544, 4.375], [-2.674, 1.544, 4.375], [0.000, -3.088, 4.375]], "species": ["Y", "Y", "Ir", "Rh", "Rh", "Rh"], "frac_coords": [[0.126, 0.126, 0.126], [0.874, 0.874, 0.874], [0.500, 0.500, 0.500], [0.000, 0.500, 0.500], [0.500, 0.000, 0.500], [0.500, 0.500, 0.000]], "sg": "R-3m", "crystal_system": "trigonal", "e_tot_ev_per_atom": -8.06, "ef_ev_per_atom": -0.752, "mass_density_g_cm3": 10.40}